(1)
Here is Li2Y2TmIn2 after structural relaxation from Alexandria via LeMat-Bulk. Energies are from PBE.

Computed properties:
Total energy ... -28.3 eV per cell
Space-group type ... R-3m, No. 166
D(E_F) ... 4.956 states/eV per cell
Total magnetization ... 0.00 μB per formula unit
ΔE_f ... -0.23 eV per atom

```
Li2Y2TmIn2
1.0
-4.006 -2.672 -0.001
-0.641 -3.377 -3.372
2.441 -8.001 4.109
Tm In Y Li
1 2 2 2
Cartesian
0.000 0.000 0.000
-0.712 -3.272 -0.026
-1.495 -10.777 0.762
0.926 -5.728 2.122
-3.132 -8.321 -1.385
-2.382 -5.106 -1.310
0.176 -8.943 2.046
```

=====

(2)
Here is LiU2In8 after structural relaxation from Alexandria via LeMat-Bulk. Energies are from PBE.

Computed properties:
Total energy ... -46.8 eV per cell
Space-group type ... P4/mmm, No. 123
D(E_F) ... 10.860 states/eV per cell
Total magnetization ... 5.60 μB per formula unit
ΔE_f ... -0.03 eV per atom

```
LiU2In8
1.0
4.694 0.000 0.000
0.000 4.694 0.000
0.000 0.000 12.213
U In Li
2 8 1
Cartesian
0.000 0.000 8.404
0.000 0.000 3.809
0.000 2.347 6.107
2.347 0.000 1.554
0.000 2.347 10.659
2.347 0.000 10.659
0.000 2.347 1.554
2.347 2.347 3.801
2.347 2.347 8.413
2.347 0.000 6.107
0.000 0.000 0.000
```